A relaxed Sm2Tm2Pb2C crystal, computed with PBE-GGA.

Results
ΔH_f (0 K) = -58.89 kJ per mole of atoms
calculated total energy = -78.589 eV for the cell shown
N(E_F) = 0.076 states/eV per atom

```
data_Sm2Tm2Pb2C
_chemical_formula_sum 'Sm4 Tm4 Pb4 C2'
_space_group_name_H-M_alt 'I 4/m m m'
_space_group_IT_number 139
_space_group_name_Hall '-I 4 2'
_cell_length_a 4.7896
_cell_length_b 4.7896
_cell_length_c 16.4003
_cell_angle_alpha 90.00
_cell_angle_beta 90.00
_cell_angle_gamma 90.00
loop_
_atom_site_label
_atom_site_fract_x
_atom_site_fract_y
_atom_site_fract_z
_atom_site_occupancy
Sm1 0.0000 0.0000 0.1583 1
Tm1 0.0000 0.5000 0.0000 1
Pb1 0.0000 0.0000 0.3612 1
C1 0.0000 0.0000 0.0000 1
```